CuHg2Ru: optimized geometry, PBE.

theoretical density	13.64	Mg/m³
DFT formation energy	0.56	eV per atom

a b c (Å): 4.601 4.601 4.601
angles (deg): 60.00 60.00 60.00
Element x y z (fractional)
1 Ru 0.750 0.750 0.750
2 Hg 0.250 0.250 0.250
3 Cu 0.500 0.500 0.500
4 Hg 0.000 0.000 0.000


CsK2CdHg: optimized geometry, PBE.

theoretical density	3.16	Mg/m³
DFT formation energy	-0.04	eV per atom

a b c (Å): 6.731 6.731 6.073
angles (deg): 90.00 90.00 90.00
Element x y z (fractional)
1 K 0.000 0.500 0.000
2 Cs 0.500 0.500 0.500
3 Hg 0.000 0.000 0.000
4 Cd 0.000 0.000 0.500
5 K 0.500 0.000 0.000


Pu4SO5: optimized geometry, PBE.

theoretical density	9.99	Mg/m³
formation energy from raw total energies	-2.642	eV/atom

a b c (Å): 5.655 7.276 8.787
angles (deg): 90.00 90.00 90.00
Element x y z (fractional)
1 O 0.768 0.747 0.689
2 O 0.768 0.253 0.689
3 O 0.232 0.753 0.189
4 Pu 0.516 0.761 0.500
5 S 0.812 0.000 0.000
6 Pu 0.980 0.500 0.224
7 Pu 0.484 0.261 0.000
8 Pu 0.516 0.239 0.500
9 Pu 0.020 0.000 0.276
10 Pu 0.980 0.500 0.776
11 O 0.248 0.000 0.500
12 O 0.768 0.747 0.311
13 O 0.232 0.247 0.189
14 O 0.232 0.753 0.811
15 Pu 0.484 0.739 0.000
16 S 0.188 0.500 0.500
17 O 0.752 0.500 0.000
18 O 0.232 0.247 0.811
19 O 0.768 0.253 0.311
20 Pu 0.020 0.000 0.724


Ac2LaCeSe4: optimized geometry, PBE.

theoretical density	7.39	Mg/m³
formation energy from raw total energies	-1.879	eV/atom

a b c (Å): 4.347 7.589 7.566
angles (deg): 70.73 90.00 90.00
Element x y z (fractional)
1 Se 0.000 0.736 0.758
2 Ac 0.000 0.000 0.000
3 La 0.000 0.500 0.500
4 Se 0.500 0.262 0.749
5 Se 0.000 0.264 0.242
6 Se 0.500 0.738 0.251
7 Ac 0.500 0.000 0.500
8 Ce 0.500 0.500 0.000


LiTl2Hg3: optimized geometry, PBE.

theoretical density	10.71	Mg/m³
DFT formation energy	-0.07	eV per atom

a b c (Å): 3.591 4.878 9.007
angles (deg): 90.00 90.00 90.00
Element x y z (fractional)
1 Li 0.500 0.500 0.336
2 Hg 0.500 0.500 0.643
3 Tl 0.000 0.500 0.013
4 Hg 0.500 0.000 0.180
5 Tl 0.000 0.000 0.489
6 Hg 0.500 0.000 0.838


TaInP2: optimized geometry, PBE.

theoretical density	7.46	Mg/m³
DFT formation energy	-0.04	eV per atom

a b c (Å): 2.987 2.987 9.303
angles (deg): 90.00 90.00 106.41
Element x y z (fractional)
1 P 0.000 0.000 0.059
2 In 0.500 0.500 0.750
3 Ta 0.500 0.500 0.250
4 P 0.000 0.000 0.441


ZrMoOs: optimized geometry, PBE.

theoretical density	11.79	Mg/m³
DFT formation energy	-0.05	eV per atom

a b c (Å): 6.036 6.036 6.036
angles (deg): 150.51 150.51 42.19
Element x y z (fractional)
1 Mo 0.980 0.980 0.000
2 Os 0.349 0.349 0.000
3 Zr 0.671 0.671 0.000


ScMo: optimized geometry, PBE.

theoretical density	5.72	Mg/m³
DFT formation energy	0.37	eV per atom

a b c (Å): 8.506 8.506 4.524
angles (deg): 90.00 90.00 90.00
Element x y z (fractional)
1 Sc 0.053 0.666 0.000
2 Sc 0.334 0.053 0.000
3 Mo 0.409 0.698 0.000
4 Sc 0.947 0.334 0.000
5 Mo 0.525 0.820 0.500
6 Mo 0.180 0.525 0.500
7 Mo 0.475 0.180 0.500
8 Mo 0.302 0.409 0.000
9 Mo 0.820 0.475 0.500
10 Sc 0.776 0.151 0.500
11 Mo 0.698 0.591 0.000
12 Mo 0.591 0.302 0.000
13 Sc 0.849 0.776 0.500
14 Sc 0.224 0.849 0.500
15 Sc 0.666 0.947 0.000
16 Sc 0.151 0.224 0.500